The following is a DFT calculation (GGA-PBE) of a geometry-optimized AcGePt structure.

Calculated values
Total magnetization = 0.0 μB per formula unit
Formation energy = -0.705 eV per atom
Density of states at the Fermi level = 24.27 states/eV per cell
Distance to the lowest polymorph of the same formula = 336 meV/atom

```
data_AcGePt
_chemical_formula_sum 'Ac4 Ge4 Pt4'
_cell_length_a 6.889
_cell_length_b 6.889
_cell_length_c 6.889
_cell_angle_alpha 90.00
_cell_angle_beta 90.00
_cell_angle_gamma 90.00
_symmetry_space_group_name_H-M 'F -4 3 m'
_symmetry_Int_Tables_number 216
_symmetry_space_group_name_Hall 'F -4 2 3'
loop_
_atom_site_label
_atom_site_type_symbol
_atom_site_fract_x
_atom_site_fract_y
_atom_site_fract_z
Ac1 Ac 0.000 0.000 0.000
Ge1 Ge 0.000 0.000 0.500
Pt1 Pt 0.250 0.250 0.750
```